The following is a meta-GGA SCAN calculation of a crystal of KYRu2 relaxed with PBEsol, from Alexandria via LeMat-Bulk.

abc: 5.5699 5.5699 5.5699
angles: 146.87 127.22 63.75
Closest atoms and distances in Å follow each position.
Fractional coordinates of all 4 atoms:
K  0.0000  0.0000  0.0000  4 Y 2.94, 4 Ru 2.94, 2 K 3.18
Y  0.5000  0.5000  0.0000  4 Ru 2.75, 4 K 2.94
Ru  0.2621  0.7621  0.5000  2 Y 2.75, 2 K 2.94, 4 Ru 2.95
Ru  0.7379  0.2379  0.5000  2 Y 2.75, 2 K 2.94, 4 Ru 2.95

Output
Energy above the lowest structure with this stoichiometry, kJ/mol of formula units: 203
Size of the total moment, μB per formula unit: 0.00
N(E_F), states/eV per cell: 3.48
ΔE_f, kJ per mole of atoms: 89.39
SG: Immm (71)
Uncorrected energy, eV per atom: -25.5296